ZnCd3 meta-GGA SCAN single point on PBEsol structure; calculated volume = 19.38 Å³ per atom; energy relative to the elements = 0.05 eV per atom
1.0
5.4344 0.0000 0.0000
0.0000 5.7138 0.0000
0.0000 0.0000 4.9933
Zn Cd
2 6
direct
0.2500 0.2500 0.1686
0.7500 0.7500 0.8314
0.2500 0.0033 0.6686
0.2500 0.4967 0.6686
0.2500 0.7500 0.1642
0.7500 0.2500 0.8358
0.7500 0.5033 0.3314
0.7500 0.9967 0.3314